Entry from Alexandria: an optimized crystal structure of Pu2MnPd3 (PBE-GGA).

Results
Fermi-level density of states: 3.31 states/eV/atom
formation enthalpy at 0 K: -0.360 eV per atom
total energy: -55.571 eV per formula unit

Cell lengths 5.6172, 5.6172, 5.2922 Å; angles 90.01, 122.04, 120.01 degrees
With the nearest neighbours (Å) after each atom.
Fractional coordinates of all 6 atoms:
1 Pu 0.2436 0.6217 0.8653  1 Pu 3.06, 9 Pd 3.11-3.20, 3 Mn 3.29
2 Pu 0.7564 0.3783 0.1347  1 Pu 3.06, 9 Pd 3.11-3.20, 3 Mn 3.29
3 Pd 0.5000 0.0000 0.5000  2 Mn 2.65, 4 Pd 2.81
4 Pd 0.0000 0.0000 0.5000  2 Mn 2.65, 4 Pd 2.81
5 Pd 0.5000 0.5000 0.5000  2 Mn 2.65, 4 Pd 2.81
6 Mn 0.0000 0.0000 0.0000  6 Pd 2.65

Entry from Alexandria: an optimized crystal structure of Pu2MnPd (PBE-GGA).

Results
Fermi-level density of states: 2.51 states/eV/atom
formation enthalpy at 0 K: -0.145 eV per atom
total energy: -43.608 eV per formula unit

Cell lengths 3.0870, 5.1341, 5.1341 Å; angles 90.00, 90.00, 90.00 degrees
With the nearest neighbours (Å) after each atom.
Fractional coordinates of all 4 atoms:
1 Pu 0.0000 0.5000 0.0000  4 Pd 3.00, 4 Mn 3.00, 2 Pu 3.09
2 Pu 0.0000 0.0000 0.5000  4 Pd 3.00, 4 Mn 3.00, 2 Pu 3.09
3 Mn 0.5000 0.0000 0.0000  8 Pu 3.00, 2 Mn 3.09
4 Pd 0.5000 0.5000 0.5000  8 Pu 3.00, 2 Pd 3.09